Record 1
Density functional theory data (PBE-GGA) for an optimized crystal structure of TaFe2Ag.

Unit cell a=6.841 b=6.841 c=5.542 alpha=51.88 beta=51.88 gamma=90.00
Each line ends with the local moment (μB).
Sites, in units of the cell vectors:
Fe 0.639 0.125 0.250  1.86
Fe 0.111 0.625 0.250  1.87
Fe 0.375 0.361 0.750  1.84
Fe 0.875 0.889 0.750  1.85
Ag 0.500 0.500 0.000  -0.03
Ag 0.250 0.750 0.500  -0.04
Ta 0.000 0.000 0.000  -0.60
Ta 0.750 0.250 0.500  -0.60

Results
offset from the most stable computed form	549.8	meV/atom
raw total energy	-7.16	eV per atom
crystal system	tetragonal
formation enthalpy at 0 K	747	meV per atom

=====

Record 2
Density functional theory data (PBE-GGA) for an optimized crystal structure of KCa2Ta.

Unit cell a=4.148 b=6.067 c=5.550 alpha=90.00 beta=90.00 gamma=90.00
Each line ends with the local moment (μB).
Sites, in units of the cell vectors:
Ca 0.000 0.000 0.000  -0.01
Ca 0.500 0.500 0.000  0.07
K 0.500 0.000 0.500  0.02
Ta 0.000 0.500 0.500  1.81

Results
offset from the most stable computed form	538.0	meV/atom
raw total energy	-3.06	eV per atom
crystal system	orthorhombic
formation enthalpy at 0 K	1176	meV per atom

=====

Record 3
Density functional theory data (PBE-GGA) for an optimized crystal structure of V3HW.

Unit cell a=4.730 b=4.730 c=4.730 alpha=90.00 beta=90.00 gamma=90.00
Each line ends with the local moment (μB).
Sites, in units of the cell vectors:
H 0.500 0.500 0.500  -0.11
W 0.000 0.000 0.000  -0.54
V 0.000 0.500 0.000  1.60
V 0.000 0.000 0.500  1.60
V 0.500 0.000 0.000  1.60

Results
offset from the most stable computed form	2127.3	meV/atom
raw total energy	-6.70	eV per atom
crystal system	cubic

=====

Number 1: spin magnetization 2.89 μB per formula unit. Number 2: spin magnetization 3.25 μB per formula unit. Number 3: spin magnetization 4.91 μB per formula unit.